Entry from Alexandria: LaCrHO5 after structural relaxation (PBE with a Hubbard U).

CIF file:
```
data_LaCrHO5
_symmetry_space_group_name_H-M 'P 1 21/c 1'
_symmetry_Int_Tables_number 14
_cell_length_a 4.780
_cell_length_b 13.288
_cell_length_c 7.283
_cell_angle_alpha 90.00
_cell_angle_beta 111.41
_cell_angle_gamma 90.00
loop_
_symmetry_equiv_pos_as_xyz
'x,y,z'
'-x,-y,-z'
'-x,y+1/2,-z+1/2'
'x,-y+1/2,z+1/2'
loop_
_atom_site_label
_atom_site_fract_x
_atom_site_fract_y
_atom_site_fract_z
_atom_site_occupancy
La1 0.164 0.057 0.299 1
Cr1 0.411 0.149 0.884 1
H1 0.221 0.647 0.998 1
O1 0.180 0.070 0.948 1
O2 0.229 0.579 0.051 1
O3 0.257 0.239 0.322 1
O4 0.273 0.661 0.428 1
O5 0.476 0.097 0.695 1
```

Properties
M_tot = 0.00 μB/f.u.
DFT total energy = -56.4 eV/f.u.
Crystal system = monoclinic
Calculated volume = 13.46 A^3/atom